Entry 1:
Material: YScSb2
Method: DFT, meta-GGA SCAN
State: single point on PBEsol structure

```
data_YScSb2
_chemical_formula_sum 'Y1 Sc1 Sb2'
_space_group_name_H-M_alt 'P 4/m m m'
_space_group_IT_number 123
_space_group_name_Hall '-P 4 2'
_cell_length_a 4.226
_cell_length_b 4.226
_cell_length_c 5.970
_cell_angle_alpha 90.00
_cell_angle_beta 90.00
_cell_angle_gamma 90.00
loop_
_atom_site_label
_atom_site_type_symbol
_atom_site_fract_x
_atom_site_fract_y
_atom_site_fract_z
Y1 Y 0.000 0.000 0.000
Sc1 Sc 0.500 0.500 0.500
Sb1 Sb 0.000 0.000 0.500
Sb2 Sb 0.500 0.500 0.000
```

Values from the calculation:
Energy relative to the lowest polymorph listed for this composition   29 meV/atom
Formation energy without anion corrections   -1.124 eV per atom

Entry 2:
Material: YSc2Sb
Method: DFT, meta-GGA SCAN
State: single point on PBEsol structure

```
data_YSc2Sb
_chemical_formula_sum 'Y2 Sc4 Sb2'
_space_group_name_H-M_alt 'C 1 2/m 1'
_space_group_IT_number 12
_cell_length_a 6.218
_cell_length_b 10.334
_cell_length_c 3.297
_cell_angle_alpha 90.00
_cell_angle_beta 114.37
_cell_angle_gamma 90.00
loop_
_space_group_symop_operation_xyz
'x,y,z'
'-x,-y,-z'
'-x,y,-z'
'x,-y,z'
'x+1/2,y+1/2,z'
'-x+1/2,-y+1/2,-z'
'-x+1/2,y+1/2,-z'
'x+1/2,-y+1/2,z'
loop_
_atom_site_label
_atom_site_type_symbol
_atom_site_fract_x
_atom_site_fract_y
_atom_site_fract_z
Y1 Y 0.000 0.000 0.000
Sc1 Sc 0.250 0.250 0.500
Sb1 Sb 0.000 0.500 0.000
```

Values from the calculation:
Formation energy without anion corrections   -0.343 eV per atom

Entry 3:
Material: YSc2Sb
Method: DFT, meta-GGA SCAN
State: single point on PBEsol structure

```
data_YSc2Sb
_chemical_formula_sum 'Y4 Sc8 Sb4'
_space_group_name_H-M_alt 'F -4 3 m'
_space_group_IT_number 216
_space_group_name_Hall 'F -4 2 3'
_cell_length_a 7.175
_cell_length_b 7.175
_cell_length_c 7.175
_cell_angle_alpha 90.00
_cell_angle_beta 90.00
_cell_angle_gamma 90.00
loop_
_atom_site_label
_atom_site_type_symbol
_atom_site_fract_x
_atom_site_fract_y
_atom_site_fract_z
Y1 Y 0.000 0.000 0.000
Sc1 Sc 0.000 0.000 0.500
Sc2 Sc 0.250 0.250 0.250
Sb1 Sb 0.250 0.250 0.750
```

Values from the calculation:
Formation energy without anion corrections   -0.284 eV per atom

Entry 4:
Material: YScSb4
Method: DFT, meta-GGA SCAN
State: single point on PBEsol structure

```
data_YScSb4
_chemical_formula_sum 'Y4 Sc4 Sb16'
_space_group_name_H-M_alt 'F -4 3 m'
_space_group_IT_number 216
_space_group_name_Hall 'F -4 2 3'
_cell_length_a 8.666
_cell_length_b 8.666
_cell_length_c 8.666
_cell_angle_alpha 90.00
_cell_angle_beta 90.00
_cell_angle_gamma 90.00
loop_
_atom_site_label
_atom_site_type_symbol
_atom_site_fract_x
_atom_site_fract_y
_atom_site_fract_z
Y1 Y 0.000 0.000 0.000
Sc1 Sc 0.250 0.250 0.750
Sb1 Sb 0.125 0.125 0.375
```

Values from the calculation:
Formation energy without anion corrections   -0.057 eV per atom

Entry 5:
Material: YScSb2
Method: DFT, meta-GGA SCAN
State: single point on PBEsol structure

```
data_YScSb2
_chemical_formula_sum 'Y3 Sc3 Sb6'
_space_group_name_H-M_alt 'R -3 m'
_space_group_IT_number 166
_space_group_name_Hall '-R 3 2"'
_cell_length_a 4.2157
_cell_length_b 4.2157
_cell_length_c 20.6403
_cell_angle_alpha 90.00
_cell_angle_beta 90.00
_cell_angle_gamma 120.00
loop_
_atom_site_label
_atom_site_type_symbol
_atom_site_fract_x
_atom_site_fract_y
_atom_site_fract_z
Y1 Y 0.0000 0.0000 0.0000
Sc1 Sc 0.0000 0.0000 0.5000
Sb1 Sb 0.0000 0.0000 0.2449
```

Values from the calculation:
Energy relative to the lowest polymorph listed for this composition   0 meV/atom
Formation energy without anion corrections   -1.153 eV per atom

Entry 6:
Material: YScSb2
Method: DFT, meta-GGA SCAN
State: single point on PBEsol structure

```
data_YScSb2
_chemical_formula_sum 'Y3 Sc3 Sb6'
_space_group_name_H-M_alt 'R 3 m'
_space_group_IT_number 160
_space_group_name_Hall 'R 3 -2"'
_cell_length_a 3.4587
_cell_length_b 3.4587
_cell_length_c 30.0741
_cell_angle_alpha 90.00
_cell_angle_beta 90.00
_cell_angle_gamma 120.00
loop_
_atom_site_label
_atom_site_type_symbol
_atom_site_fract_x
_atom_site_fract_y
_atom_site_fract_z
Y1 Y 0.0000 0.0000 0.0000
Sc1 Sc 0.0000 0.0000 0.2410
Sb1 Sb 0.0000 0.0000 0.5002
Sb2 Sb 0.0000 0.0000 0.7482
```

Values from the calculation:
Energy relative to the lowest polymorph listed for this composition   956 meV/atom
Formation energy without anion corrections   -0.197 eV per atom

Entry 7:
Material: YScSb2
Method: DFT, meta-GGA SCAN
State: single point on PBEsol structure

```
data_YScSb2
_chemical_formula_sum 'Y1 Sc1 Sb2'
_space_group_name_H-M_alt 'P m m m'
_space_group_IT_number 47
_cell_length_a 3.236
_cell_length_b 3.858
_cell_length_c 7.722
_cell_angle_alpha 90.00
_cell_angle_beta 90.00
_cell_angle_gamma 90.00
loop_
_space_group_symop_operation_xyz
'x,y,z'
'-x,-y,-z'
'-x,-y,z'
'x,y,-z'
'x,-y,-z'
'-x,y,z'
'-x,y,-z'
'x,-y,z'
loop_
_atom_site_label
_atom_site_type_symbol
_atom_site_fract_x
_atom_site_fract_y
_atom_site_fract_z
Y1 Y 0.000 0.000 0.000
Sc1 Sc 0.000 0.000 0.500
Sb1 Sb 0.500 0.500 0.263
```

Values from the calculation:
Energy relative to the lowest polymorph listed for this composition   330 meV/atom
Formation energy without anion corrections   -0.823 eV per atom

Entry 8:
Material: ScZnSb2
Method: DFT, meta-GGA SCAN
State: single point on PBEsol structure

```
data_ScZnSb2
_chemical_formula_sum 'Sc4 Zn4 Sb8'
_space_group_name_H-M_alt 'I -4 2 d'
_space_group_IT_number 122
_space_group_name_Hall 'I -4 2bw'
_cell_length_a 7.571
_cell_length_b 7.571
_cell_length_c 6.404
_cell_angle_alpha 90.00
_cell_angle_beta 90.00
_cell_angle_gamma 90.00
loop_
_atom_site_label
_atom_site_type_symbol
_atom_site_fract_x
_atom_site_fract_y
_atom_site_fract_z
Sc1 Sc 0.000 0.000 0.000
Zn1 Zn 0.000 0.000 0.500
Sb1 Sb 0.224 0.250 0.625
```

Values from the calculation:
Formation energy without anion corrections   -0.263 eV per atom

Entry 9:
Material: ScZnSb2
Method: DFT, meta-GGA SCAN
State: single point on PBEsol structure

```
data_ScZnSb2
_chemical_formula_sum 'Sc1 Zn1 Sb2'
_space_group_name_H-M_alt 'P 1 m 1'
_space_group_IT_number 6
_cell_length_a 3.864
_cell_length_b 4.191
_cell_length_c 5.725
_cell_angle_alpha 90.00
_cell_angle_beta 109.39
_cell_angle_gamma 90.00
loop_
_space_group_symop_operation_xyz
'x,y,z'
'x,-y,z'
loop_
_atom_site_label
_atom_site_type_symbol
_atom_site_fract_x
_atom_site_fract_y
_atom_site_fract_z
Sc1 Sc 0.000 0.000 0.000
Zn1 Zn 0.185 0.500 0.372
Sb1 Sb 0.445 0.500 0.888
Sb2 Sb 0.720 0.000 0.440
```

Values from the calculation:
Formation energy without anion corrections   -0.406 eV per atom

Entry 10:
Material: ScZnSb4
Method: DFT, meta-GGA SCAN
State: single point on PBEsol structure

```
data_ScZnSb4
_chemical_formula_sum 'Sc4 Zn4 Sb16'
_space_group_name_H-M_alt 'F -4 3 m'
_space_group_IT_number 216
_space_group_name_Hall 'F -4 2 3'
_cell_length_a 8.612
_cell_length_b 8.612
_cell_length_c 8.612
_cell_angle_alpha 90.00
_cell_angle_beta 90.00
_cell_angle_gamma 90.00
loop_
_atom_site_label
_atom_site_type_symbol
_atom_site_fract_x
_atom_site_fract_y
_atom_site_fract_z
Sc1 Sc 0.000 0.000 0.000
Zn1 Zn 0.250 0.250 0.250
Sb1 Sb 0.125 0.125 0.625
```

Values from the calculation:
Formation energy without anion corrections   0.280 eV per atom

Entry 11:
Material: ScZnSb2
Method: DFT, meta-GGA SCAN
State: single point on PBEsol structure

```
data_ScZnSb2
_chemical_formula_sum 'Sc2 Zn2 Sb4'
_space_group_name_H-M_alt 'C 1 m 1'
_space_group_IT_number 8
_cell_length_a 10.672
_cell_length_b 3.867
_cell_length_c 4.267
_cell_angle_alpha 90.00
_cell_angle_beta 99.31
_cell_angle_gamma 90.00
loop_
_space_group_symop_operation_xyz
'x,y,z'
'x,-y,z'
'x+1/2,y+1/2,z'
'x+1/2,-y+1/2,z'
loop_
_atom_site_label
_atom_site_type_symbol
_atom_site_fract_x
_atom_site_fract_y
_atom_site_fract_z
Sc1 Sc 0.000 0.000 0.000
Zn1 Zn 0.195 0.000 0.577
Sb1 Sb 0.221 0.500 0.058
Sb2 Sb 0.445 0.000 0.476
```

Values from the calculation:
Formation energy without anion corrections   -0.430 eV per atom

Entry 12:
Material: ScZnSb2
Method: DFT, meta-GGA SCAN
State: single point on PBEsol structure

```
data_ScZnSb2
_chemical_formula_sum 'Sc2 Zn2 Sb4'
_space_group_name_H-M_alt 'I 4/m m m'
_space_group_IT_number 139
_space_group_name_Hall '-I 4 2'
_cell_length_a 4.437
_cell_length_b 4.437
_cell_length_c 8.748
_cell_angle_alpha 90.00
_cell_angle_beta 90.00
_cell_angle_gamma 90.00
loop_
_atom_site_label
_atom_site_type_symbol
_atom_site_fract_x
_atom_site_fract_y
_atom_site_fract_z
Sc1 Sc 0.000 0.000 0.000
Zn1 Zn 0.000 0.000 0.500
Sb1 Sb 0.000 0.500 0.250
```

Values from the calculation:
Formation energy without anion corrections   -0.322 eV per atom

Which value of formation energy without anion corrections does entry 10 give? 0.280 eV per atom

Among the records above, which one has the lowest formation energy without anion corrections? number 5

What did the sixth record say?
Material: YScSb2
Method: DFT, meta-GGA SCAN
State: single point on PBEsol structure

```
data_YScSb2
_chemical_formula_sum 'Y3 Sc3 Sb6'
_space_group_name_H-M_alt 'R 3 m'
_space_group_IT_number 160
_space_group_name_Hall 'R 3 -2"'
_cell_length_a 3.4587
_cell_length_b 3.4587
_cell_length_c 30.0741
_cell_angle_alpha 90.00
_cell_angle_beta 90.00
_cell_angle_gamma 120.00
loop_
_atom_site_label
_atom_site_type_symbol
_atom_site_fract_x
_atom_site_fract_y
_atom_site_fract_z
Y1 Y 0.0000 0.0000 0.0000
Sc1 Sc 0.0000 0.0000 0.2410
Sb1 Sb 0.0000 0.0000 0.5002
Sb2 Sb 0.0000 0.0000 0.7482
```

Values from the calculation:
Energy relative to the lowest polymorph listed for this composition   956 meV/atom
Formation energy without anion corrections   -0.197 eV per atom

formation energy without anion corrections of number 2 (YSc2Sb)? -0.343 eV per atom